# 1
Density functional theory data (PBE) for a geometry-optimized HoZrPd5 structure.

```
HoZrPd5
1.0
4.0342 0.0000 0.0000
0.0000 4.0342 0.0000
0.0000 0.0000 8.0454
Ho Zr Pd
1 1 5
Direct
0.0000 0.0000 0.0000
0.5000 0.5000 0.5000
0.0000 0.5000 0.2695
0.0000 0.5000 0.7305
0.5000 0.0000 0.2695
0.5000 0.0000 0.7305
0.5000 0.5000 0.0000
```

Summary:
SG: No. 123
ΔH_f (0 K) (kJ/mol of atoms): -62
Crystal system: tetragonal

***

# 2
Density functional theory data (PBE) for a geometry-optimized HoZrPd6 structure.

```
HoZrPd6
1.0
4.0703 0.0000 0.0000
0.0000 4.0703 0.0000
0.0000 0.0000 8.1441
Ho Zr Pd
1 1 6
Direct
0.0000 0.0000 0.0000
0.0000 0.0000 0.5000
0.0000 0.5000 0.2576
0.0000 0.5000 0.7424
0.5000 0.0000 0.2576
0.5000 0.0000 0.7424
0.5000 0.5000 0.0000
0.5000 0.5000 0.5000
```

Summary:
SG: No. 123
ΔH_f (0 K) (kJ/mol of atoms): -84
Crystal system: tetragonal

***

# 3
Density functional theory data (PBE) for a geometry-optimized HoZr2Pd9 structure.

```
HoZr2Pd9
1.0
4.0568 0.0000 0.0000
0.0000 4.0568 0.0000
0.0000 0.0000 12.1872
Ho Zr Pd
1 2 9
Direct
0.0000 0.0000 0.0000
0.0000 0.0000 0.3329
0.0000 0.0000 0.6671
0.0000 0.5000 0.1733
0.0000 0.5000 0.5000
0.0000 0.5000 0.8267
0.5000 0.0000 0.1733
0.5000 0.0000 0.5000
0.5000 0.0000 0.8267
0.5000 0.5000 0.0000
0.5000 0.5000 0.3367
0.5000 0.5000 0.6633
```

Summary:
SG: No. 123
ΔH_f (0 K) (kJ/mol of atoms): -83
Crystal system: tetragonal

***

# 4
Density functional theory data (PBE) for a geometry-optimized HoZr2Pd8 structure.

```
HoZr2Pd8
1.0
7.2879 -2.0571 0.0000
7.2879 2.0571 0.0000
-2.0674 0.0000 6.3674
Ho Zr Pd
1 2 8
Direct
0.0000 0.0000 0.0000
0.2791 0.2791 0.3338
0.7209 0.7209 0.6662
0.0990 0.0990 0.4564
0.1808 0.1808 0.9094
0.3560 0.3560 0.8043
0.4586 0.4586 0.2817
0.5414 0.5414 0.7183
0.6440 0.6440 0.1957
0.8192 0.8192 0.0906
0.9010 0.9010 0.5436
```

Summary:
SG: No. 12
ΔH_f (0 K) (kJ/mol of atoms): -70
Crystal system: monoclinic

***

# 5
Density functional theory data (PBE) for a geometry-optimized Ho5Zr3Pd12 structure.

```
Ho5Zr3Pd12
1.0
-7.9015 7.9015 7.9015
7.9015 -7.9015 7.9015
7.9015 7.9015 -7.9015
Ho Zr Pd
20 12 48
Direct
0.0000 0.0000 0.0000
0.0000 0.0000 0.5000
0.0000 0.5000 0.0000
0.0000 0.5000 0.5000
0.1250 0.7500 0.8750
0.1250 0.8750 0.2500
0.2500 0.1250 0.8750
0.2500 0.6250 0.3750
0.3750 0.2500 0.6250
0.3750 0.6250 0.7500
0.5000 0.0000 0.0000
0.5000 0.0000 0.5000
0.5000 0.5000 0.0000
0.5000 0.5000 0.5000
0.6250 0.3750 0.2500
0.6250 0.7500 0.3750
0.7500 0.3750 0.6250
0.7500 0.8750 0.1250
0.8750 0.1250 0.7500
0.8750 0.2500 0.1250
0.1250 0.2500 0.3750
0.1250 0.3750 0.7500
0.2500 0.3750 0.1250
0.2500 0.8750 0.6250
0.3750 0.1250 0.2500
0.3750 0.7500 0.1250
0.6250 0.2500 0.8750
0.6250 0.8750 0.7500
0.7500 0.1250 0.3750
0.7500 0.6250 0.8750
0.8750 0.6250 0.2500
0.8750 0.7500 0.6250
0.0715 0.6468 0.4124
0.0715 0.9247 0.6591
0.0753 0.2344 0.1468
0.0753 0.3409 0.9285
0.0876 0.7344 0.6591
0.0876 0.8532 0.4285
0.1468 0.0753 0.2344
0.1468 0.5715 0.9124
0.1591 0.2344 0.5876
0.1591 0.4247 0.5715
0.2344 0.1468 0.0753
0.2344 0.5876 0.1591
0.2656 0.3409 0.9124
0.2656 0.4247 0.3532
0.3409 0.9124 0.2656
0.3409 0.9285 0.0753
0.3532 0.2656 0.4247
0.3532 0.5876 0.9285
0.4124 0.0715 0.6468
0.4124 0.8409 0.7656
0.4247 0.3532 0.2656
0.4247 0.5715 0.1591
0.4285 0.0876 0.8532
0.4285 0.8409 0.5753
0.5715 0.1591 0.4247
0.5715 0.9124 0.1468
0.5753 0.4285 0.8409
0.5753 0.6468 0.7344
0.5876 0.1591 0.2344
0.5876 0.9285 0.3532
0.6468 0.4124 0.0715
0.6468 0.7344 0.5753
0.6591 0.0715 0.9247
0.6591 0.0876 0.7344
0.7344 0.5753 0.6468
0.7344 0.6591 0.0876
0.7656 0.4124 0.8409
0.7656 0.8532 0.9247
0.8409 0.5753 0.4285
0.8409 0.7656 0.4124
0.8532 0.4285 0.0876
0.8532 0.9247 0.7656
0.9124 0.1468 0.5715
0.9124 0.2656 0.3409
0.9247 0.6591 0.0715
0.9247 0.7656 0.8532
0.9285 0.0753 0.3409
0.9285 0.3532 0.5876
```

Summary:
SG: No. 230
ΔH_f (0 K) (kJ/mol of atoms): -24
Crystal system: cubic

***

# 6
Density functional theory data (PBE) for a geometry-optimized Pm2Ho3 structure.

```
Pm2Ho3
1.0
5.6460 -2.5271 0.0000
5.6460 2.5271 0.0000
-5.6347 0.0000 5.6570
Pm Ho
2 3
Direct
0.2011 0.2011 0.3006
0.7989 0.7989 0.6994
0.0000 0.0000 0.5000
0.3987 0.3987 0.0984
0.6013 0.6013 0.9016
```

Summary:
SG: No. 12
ΔH_f (0 K) (kJ/mol of atoms): 2
Crystal system: monoclinic

***

# 7
Density functional theory data (PBE) for a geometry-optimized Pm4Ho3 structure.

```
Pm4Ho3
1.0
8.4470 -1.7545 0.0000
8.4470 1.7545 0.0000
-3.9245 0.0000 7.8744
Pm Ho
4 3
Direct
0.0794 0.0794 0.2045
0.3617 0.3617 0.0924
0.6383 0.6383 0.9076
0.9206 0.9206 0.7955
0.0000 0.0000 0.5000
0.2209 0.2209 0.6447
0.7791 0.7791 0.3553
```

Summary:
SG: No. 12
Energy above the lowest structure with this stoichiometry (kJ/mol of formula units): 77
ΔH_f (0 K) (kJ/mol of atoms): 12
Crystal system: monoclinic

***

# 8
Density functional theory data (PBE) for a geometry-optimized Pm8Ho3 structure.

```
Pm8Ho3
1.0
6.3450 0.0000 0.0000
1.6854 6.9664 0.0000
1.7903 1.7120 8.3938
Pm Ho
8 3
Direct
0.0750 0.3731 0.3568
0.0853 0.9121 0.2508
0.3591 0.1761 0.8540
0.4049 0.7063 0.8684
0.5951 0.2937 0.1316
0.6409 0.8239 0.1460
0.9147 0.0879 0.7492
0.9250 0.6269 0.6432
0.0000 0.5000 0.0000
0.5000 0.0000 0.5000
0.5000 0.5000 0.5000
```

Summary:
SG: No. 2
Energy above the lowest structure with this stoichiometry (kJ/mol of formula units): 0
ΔH_f (0 K) (kJ/mol of atoms): 18
Crystal system: triclinic

***

Table of E (eV/cell), in record order: -43.60, -51.27, -78.76, -71.18, -463.11, -23.14, -31.83, -49.68